(1)
## Li4Tb3HoSe8 (PBE)

Data for a relaxed structure of Li4Tb3HoSe8.

Computed properties:
The calculation puts the raw total energy at -81.1 eV for the cell shown. Its symmetry is R-3m (166). The energy relative to the elements, uncorrected is -1.70 eV per atom.

abc: 8.028 8.028 8.028
angles: 61.08 61.08 61.08
Sites, in units of the cell vectors:
Li 0.000 0.000 0.000
Li 0.000 0.500 0.500
Li 0.500 0.000 0.500
Li 0.500 0.500 0.000
Tb 0.000 0.000 0.500
Tb 0.000 0.500 0.000
Tb 0.500 0.000 0.000
Ho 0.500 0.500 0.500
Se 0.250 0.250 0.747
Se 0.250 0.747 0.250
Se 0.251 0.251 0.251
Se 0.253 0.750 0.750
Se 0.747 0.250 0.250
Se 0.749 0.749 0.749
Se 0.750 0.253 0.750
Se 0.750 0.750 0.253

(2)
## CaGaPCl2 (PBE)

Data for a relaxed structure of CaGaPCl2.

Computed properties:
The calculation puts the raw total energy at -17.2 eV for the cell shown. Its symmetry is P4/mmm (123). For the distance to the lowest polymorph of the same formula, the calculation gives 9.7 kJ per mole of atoms. The energy relative to the elements, uncorrected is -0.62 eV per atom.

abc: 5.301 5.301 5.795
angles: 90.00 90.00 90.00
Sites, in units of the cell vectors:
Ca 0.000 0.000 0.000
Ga 0.500 0.500 0.500
P 0.000 0.000 0.500
Cl 0.000 0.500 0.000
Cl 0.500 0.000 0.000

(3)
## TcAs2P (PBE)

Data for a relaxed structure of TcAs2P.

Computed properties:
The calculation puts the raw total energy at -25.2 eV for the cell shown. Its symmetry is Cm (8). Its formation energy is -29 meV per atom.

abc: 4.253 4.253 6.160
angles: 96.62 96.62 43.63
Sites, in units of the cell vectors:
Tc 0.000 0.000 0.000
As 0.281 0.281 0.745
As 0.539 0.539 0.348
P 0.723 0.723 0.091

no.,DOS(E_F) (states/eV/cell)
1,0.0
2,2.0
3,1.4